Computed, not measured: a geometry-optimized Li3NpU2Te6 structure at the PBE level of DFT.

Structure (POSCAR):
```
Li3NpU2Te6
1.0
-7.264 -0.145 -1.694
3.668 -6.375 1.249
-0.432 2.598 7.107
Np Li Te U
1 3 6 2
direct
0.000 0.000 0.000 Np
0.833 0.167 0.500 Li
0.500 0.500 0.500 Li
0.167 0.833 0.500 Li
0.913 0.578 0.739 Te
0.248 0.248 0.738 Te
0.578 0.913 0.739 Te
0.752 0.752 0.262 Te
0.087 0.422 0.261 Te
0.422 0.087 0.261 Te
0.333 0.667 0.000 U
0.667 0.333 0.000 U
```

- M_tot: 0.8336 μB per atom
- Formation energy without anion corrections: -17.82 kcal/mol of atoms
- E: -69.38 eV per cell